Material: Sm2Si4Ir3
Method: DFT, PBE
State: optimized geometry

Unit cell a=7.948 b=7.948 c=7.258 alpha=90.00 beta=90.00 gamma=138.32
Fractional positions:
Sm (0.107, 0.893, 0.906)
Sm (0.393, 0.607, 0.406)
Sm (0.607, 0.393, 0.594)
Sm (0.893, 0.107, 0.094)
Si (0.182, 0.818, 0.523)
Si (0.187, 0.313, 0.750)
Si (0.313, 0.187, 0.250)
Si (0.318, 0.682, 0.023)
Si (0.682, 0.318, 0.977)
Si (0.687, 0.813, 0.750)
Si (0.813, 0.687, 0.250)
Si (0.818, 0.182, 0.477)
Ir (0.000, 0.000, 0.500)
Ir (0.023, 0.477, 0.750)
Ir (0.477, 0.023, 0.250)
Ir (0.500, 0.500, 0.000)
Ir (0.523, 0.977, 0.750)
Ir (0.977, 0.523, 0.250)

Properties
Formation energy without anion corrections   -0.899 eV per atom
DFT total energy   -131.6 eV/cell

***

Material: BaIn2P
Method: DFT, PBE
State: optimized geometry

Unit cell a=3.971 b=3.971 c=7.197 alpha=90.00 beta=90.00 gamma=90.00
Fractional positions:
Ba (0.000, 0.000, 0.000)
In (0.000, 0.000, 0.538)
In (0.500, 0.500, 0.336)
P (0.500, 0.500, 0.713)

Properties
DFT total energy   -14.0 eV/cell

***

> Look up the DFT total energy of the first one.

-131.6 eV/cell